# 1
Material: TbNdEr2S4
Method: DFT, GGA-PBE
State: relaxed

a = 3.8801 Å, b = 6.9017 Å, c = 6.7867 Å
α = 71.20°, β = 90.00°, γ = 90.00°
With the nearest neighbours (Å) after each atom.
Sites, in units of the cell vectors:
S 0.5000 0.2390 0.7484  3 Er 2.71-2.75, 2 Tb 2.81, 1 Nd 2.85
S 0.0000 0.7652 0.7393  3 Er 2.71-2.76, 1 Tb 2.81, 2 Nd 2.86
Nd 0.5000 0.5000 0.0000  6 S 2.85-2.86
S 0.5000 0.7610 0.2516  3 Er 2.71-2.75, 2 Tb 2.81, 1 Nd 2.85
Er 0.5000 0.0000 0.5000  6 S 2.71
Tb 0.0000 0.5000 0.5000  6 S 2.81
Er 0.0000 0.0000 0.0000  6 S 2.75-2.76
S 0.0000 0.2348 0.2607  3 Er 2.71-2.76, 1 Tb 2.81, 2 Nd 2.86

Output
uncorrected energy = -6.3633 eV/atom
formation energy from raw total energies = -1.9841 eV/atom

# 2
Material: Tb3Nd2ErS6
Method: DFT, GGA-PBE
State: relaxed

a = 3.9495 Å, b = 7.9775 Å, c = 8.8544 Å
α = 103.01°, β = 102.89°, γ = 90.00°
With the nearest neighbours (Å) after each atom.
Sites, in units of the cell vectors:
Tb 0.8305 0.1668 0.6611  6 S 2.75-2.80
S 0.6632 0.5911 0.3264  3 Tb 2.74-2.75, 3 Nd 2.84-2.85
S 0.3368 0.4089 0.6736  3 Tb 2.74-2.75, 3 Nd 2.84-2.85
Nd 0.8322 0.6640 0.6645  6 S 2.84-2.88
S 0.9964 0.2433 0.9927  2 Er 2.78, 3 Tb 2.79-2.84, 1 Nd 2.88
S 0.3362 0.9268 0.6725  1 Er 2.75, 3 Tb 2.77-2.80, 2 Nd 2.87
Nd 0.1678 0.3360 0.3355  6 S 2.84-2.88
Tb 0.5000 0.5000 0.0000  6 S 2.74-2.84
S 0.6638 0.0732 0.3275  1 Er 2.75, 3 Tb 2.77-2.80, 2 Nd 2.87
Tb 0.1695 0.8332 0.3389  6 S 2.75-2.80
S 0.0036 0.7567 0.0073  2 Er 2.78, 3 Tb 2.79-2.84, 1 Nd 2.88
Er 0.5000 0.0000 0.0000  6 S 2.75-2.78

Output
uncorrected energy = -6.3988 eV/atom
formation energy from raw total energies = -2.0027 eV/atom